[1]
# YNiSb2I, relaxed, DFT GGA-PBE
data_YNiSb2I
_chemical_formula_sum 'Y1 Ni1 Sb2 I1'
_cell_length_a 5.871
_cell_length_b 5.871
_cell_length_c 5.813
_cell_angle_alpha 90.00
_cell_angle_beta 90.00
_cell_angle_gamma 90.00
_symmetry_space_group_name_H-M 'P 1'
_symmetry_Int_Tables_number 1
loop_
_symmetry_equiv_pos_as_xyz
'x,y,z'
loop_
_atom_site_label
_atom_site_fract_x
_atom_site_fract_y
_atom_site_fract_z
Y1 0.000 0.000 0.000
Ni1 0.500 0.500 0.500
Sb1 0.000 0.500 0.000
Sb2 0.500 0.000 0.000
I1 0.000 0.000 0.500
# Polymorph energy (0 for the lowest one) ... 762.7 meV/atom
# Total energy ... -3.696 eV per atom
# Space-group type ... P4/mmm (123)
# Total magnetization ... 0.84 μB/f.u.

---

[2]
# Pm4Tm3Sc2, relaxed, DFT GGA-PBE
data_Pm4Tm3Sc2
_chemical_formula_sum 'Pm4 Tm3 Sc2'
_cell_length_a 6.034
_cell_length_b 6.034
_cell_length_c 10.526
_cell_angle_alpha 106.06
_cell_angle_beta 106.06
_cell_angle_gamma 48.85
_symmetry_space_group_name_H-M 'P 1'
_symmetry_Int_Tables_number 1
loop_
_symmetry_equiv_pos_as_xyz
'x,y,z'
loop_
_atom_site_label
_atom_site_fract_x
_atom_site_fract_y
_atom_site_fract_z
Pm1 0.001 0.001 0.330
Pm2 0.333 0.333 0.111
Pm3 0.667 0.667 0.889
Pm4 0.999 0.999 0.670
Tm1 0.000 0.000 0.000
Tm2 0.333 0.333 0.446
Tm3 0.667 0.667 0.554
Sc1 0.331 0.331 0.775
Sc2 0.669 0.669 0.225
# Polymorph energy (0 for the lowest one) ... 0.0 meV/atom
# Total energy ... -4.968 eV per atom
# Space-group type ... C2/m (12)
# Energy relative to the elements ... 40 meV per atom
# Total magnetization ... 0.00 μB/f.u.

---

[3]
# BPI2O, relaxed, DFT GGA-PBE
data_BPI2O
_chemical_formula_sum 'B1 P1 I2 O1'
_cell_length_a 5.587
_cell_length_b 5.587
_cell_length_c 3.562
_cell_angle_alpha 90.00
_cell_angle_beta 90.00
_cell_angle_gamma 90.00
_symmetry_space_group_name_H-M 'P 1'
_symmetry_Int_Tables_number 1
loop_
_symmetry_equiv_pos_as_xyz
'x,y,z'
loop_
_atom_site_label
_atom_site_fract_x
_atom_site_fract_y
_atom_site_fract_z
B1 0.000 0.000 0.000
P1 0.500 0.500 0.500
I1 0.000 0.500 0.500
I2 0.500 0.000 0.500
O1 0.500 0.500 0.000
# Polymorph energy (0 for the lowest one) ... 328.1 meV/atom
# Total energy ... -3.354 eV per atom
# Space-group type ... P4/mmm (123)
# Total magnetization ... 0.00 μB/f.u.